(1)
# SmCu2Ag

A relaxed SmCu2Ag crystal (PBE, Alexandria).

Computed properties:
* energy above the most stable polymorph in this dataset: 0.000 eV/atom
* crystal system: trigonal
* formation energy: -134 meV per atom
* DOS(E_F): 1.82 states/eV per cell

Cell: 4.4714 4.4714 5.1325 Å, 64.18 64.18 60.00°
Closest atoms and distances in Å follow each position.
Sites, in units of the cell vectors:
Cu1 0.7850 0.7850 0.6451  3 Ag 2.66, 1 Sm 2.86, 3 Cu 2.88
Cu2 0.2150 0.2150 0.3549  3 Ag 2.66, 1 Sm 2.86, 3 Cu 2.88
Ag1 0.5000 0.5000 0.5000  6 Cu 2.66
Sm1 0.0000 0.0000 0.0000  8 Cu 2.86-3.02

---

(2)
# Cd4AsSI2

A relaxed Cd4AsSI2 crystal (PBE, Alexandria).

Computed properties:
* crystal system: orthorhombic
* raw formation energy: -308 meV per atom
* DOS(E_F): 2.72 states/eV per cell

Cell: 7.4100 7.7530 9.7950 Å, 90.00 90.00 90.00°
Closest atoms and distances in Å follow each position.
Sites, in units of the cell vectors:
Cd1 0.3289 0.0875 0.0000  1 S 2.56, 1 As 2.60
Cd2 0.8289 0.9125 0.5000  1 S 2.56, 1 As 2.60
Cd3 0.3303 0.1014 0.5000  1 S 2.56, 1 As 2.59
Cd4 0.8303 0.8986 0.0000  1 S 2.56, 1 As 2.59
Cd5 0.4289 0.6986 0.7512  1 S 2.62, 1 As 2.65
Cd6 0.9289 0.3014 0.2512  1 S 2.62, 1 As 2.65
Cd7 0.9289 0.3014 0.7488  1 S 2.62, 1 As 2.65
Cd8 0.4289 0.6986 0.2488  1 S 2.62, 1 As 2.65
As1 0.4965 0.8069 0.5000  4 Cd 2.59-2.65
As2 0.9965 0.1931 0.0000  4 Cd 2.59-2.65
S1 0.0003 0.1987 0.5000  4 Cd 2.56-2.62
S2 0.5003 0.8013 0.0000  4 Cd 2.56-2.62
I1 0.4930 0.3018 0.2481  4 Cd 3.11-3.23
I2 0.4930 0.3018 0.7519  4 Cd 3.11-3.23
I3 0.9930 0.6982 0.7481  4 Cd 3.11-3.23
I4 0.9930 0.6982 0.2519  4 Cd 3.11-3.23

---

(3)
# TbDyY2Te5

A relaxed TbDyY2Te5 crystal (PBE, Alexandria).

Computed properties:
* crystal system: tetragonal
* raw formation energy: -660 meV per atom
* DOS(E_F): 3.72 states/eV per cell

Cell: 5.5685 5.5685 11.5607 Å, 90.00 90.00 90.00°
Closest atoms and distances in Å follow each position.
Sites, in units of the cell vectors:
Tb1 0.0000 0.0000 0.5000  6 Te 2.78-2.94
Dy1 0.0000 0.0000 0.0000  2 Te 2.84
Y1 0.5000 0.5000 0.3500  4 Te 3.28, 1 Y 3.47
Y2 0.5000 0.5000 0.6500  4 Te 3.28, 1 Y 3.47
Te1 0.0000 0.5000 0.5000  2 Tb 2.78
Te2 0.5000 0.0000 0.5000  2 Tb 2.78
Te3 0.0000 0.0000 0.7546  1 Dy 2.84, 1 Tb 2.94
Te4 0.0000 0.0000 0.2454  1 Dy 2.84, 1 Tb 2.94
Te5 0.5000 0.5000 0.0000  4 Dy 3.94, 2 Y 4.05